Density functional theory data (PBE-GGA) for a geometry-optimized AlFeRe2 structure.

Results
- Calculated total energy: -36.80 eV for the cell shown
- Calculated formation energy: 0.3 eV/f.u.

Cell: 2.6768 2.6768 8.5175 Å, 90.00 90.00 111.95°
Closest atoms and distances in Å follow each position.
Sites, in units of the cell vectors:
Al: 0.0000 0.0000 0.0000  2 Fe 2.49, 2 Re 2.67, 4 Al 2.68
Fe: 0.5000 0.5000 0.2330  2 Al 2.49, 2 Re 2.57, 4 Fe 2.68
Re: 0.0000 0.0000 0.4785  2 Fe 2.57, 6 Re 2.68-2.69
Re: 0.5000 0.5000 0.7405  2 Al 2.67, 6 Re 2.68-2.69